Density functional theory data (PBE-GGA) for crystalline PmEr5Tl2 at its relaxed geometry.

The structure in extended XYZ format:
```
8
Lattice="3.636 0.000 0.000 1.818 8.170 -0.435 1.818 2.043 7.923" Properties=species:S:1:pos:R:3 pbc="T T T"
Pm 0.000 0.000 0.000
Er 1.818 5.107 3.744
Er 3.636 5.130 0.846
Er 3.636 5.083 6.642
Er 3.636 7.863 2.849
Er 3.636 2.350 4.638
Tl 5.454 7.754 5.685
Tl 1.818 2.459 1.802
```

## Properties
Crystal system ... orthorhombic
ΔE_f ... -0.122 eV/atom

Density functional theory data (PBE-GGA) for crystalline Li4TlBr5 at its relaxed geometry.

The structure in extended XYZ format:
```
20
Lattice="4.269 0.000 0.000 -2.134 3.697 0.000 0.000 0.000 37.238" Properties=species:S:1:pos:R:3 pbc="T T T"
Li 0.000 2.465 19.451
Li 0.000 2.465 26.065
Li 0.000 2.465 32.689
Li 2.134 1.232 35.983
Li 2.134 1.232 7.450
Li 2.134 1.232 16.167
Li 2.134 1.232 22.761
Li 2.134 1.232 29.381
Tl 0.000 2.465 2.973
Tl 0.000 2.465 11.678
Br 0.000 2.465 36.774
Br 0.000 2.465 8.224
Br 0.000 2.465 16.873
Br 0.000 2.465 23.486
Br 0.000 2.465 30.107
Br 2.134 1.232 4.845
Br 2.134 1.232 13.553
Br 2.134 1.232 20.179
Br 2.134 1.232 26.797
Br 2.134 1.232 33.413
```

## Properties
Formation energy from raw total energies ... -1.38 eV per atom
Crystal system ... trigonal

Density functional theory data (PBE-GGA) for crystalline PmPuIn2 at its relaxed geometry.

The structure in extended XYZ format:
```
4
Lattice="-2.501 1.437 1.733 1.544 -0.790 2.884 4.636 8.312 -0.204" Properties=species:S:1:pos:R:3 pbc="T T T"
Pm 1.839 4.480 2.207
In 3.487 6.253 -0.153
In 1.149 2.059 -0.050
Pu -0.479 0.324 2.308
```

## Properties
Crystal system ... tetragonal
ΔE_f ... -0.311 eV/atom